(1)
Crystalline LaCeDyAg at its relaxed geometry, computed with PBE-GGA.

```
LaCeDyAg
1.0
0.0000 3.8055 3.8055
3.8055 0.0000 3.8055
3.8055 3.8055 0.0000
La Ce Dy Ag
1 1 1 1
direct
0.0000 0.0000 0.0000
0.2500 0.2500 0.2500
0.5000 0.5000 0.5000
0.7500 0.7500 0.7500
```

Properties
ΔH_f (0 K) = 116 meV/atom
SG = F-43m, No. 216

(2)
Crystalline PmYCl at its relaxed geometry, computed with PBE-GGA.

```
PmYCl
1.0
3.7258 0.0000 0.0000
-1.8629 3.2267 0.0000
0.0000 0.0000 7.1206
Pm Y Cl
1 1 1
direct
0.0000 0.0000 0.0000
0.3333 0.6667 0.6152
0.6667 0.3333 0.3216
```

Properties
SG = P3m1, No. 156
E_form (uncorrected) = -0.92 eV/atom

(3)
Crystalline Mn2BePtBr at its relaxed geometry, computed with PBE-GGA.

```
Mn2BePtBr
1.0
5.0440 0.0000 0.0000
0.0000 5.0440 0.0000
0.0000 0.0000 4.2909
Mn Be Pt Br
2 1 1 1
direct
0.0000 0.5000 0.0000
0.5000 0.0000 0.0000
0.0000 0.0000 0.5000
0.0000 0.0000 0.0000
0.5000 0.5000 0.5000
```

Properties
SG = P4/mmm, No. 123
E_form (uncorrected) = 0.38 eV/atom

(4)
Crystalline K2NaBeH4 at its relaxed geometry, computed with PBE-GGA.

```
K2NaBeH4
1.0
0.0000 4.1905 17.5972
2.6005 0.0000 17.5972
2.6005 4.1905 0.0000
K Na Be H
4 2 2 8
direct
0.0566 0.0566 0.6934
0.3066 0.3066 0.9434
0.6934 0.6934 0.0566
0.9434 0.9434 0.3066
0.1250 0.1250 0.1250
0.8750 0.8750 0.8750
0.3750 0.3750 0.3750
0.6250 0.6250 0.6250
0.0962 0.6043 0.4576
0.3419 0.4576 0.6043
0.3957 0.9038 0.6581
0.4576 0.3419 0.0962
0.5424 0.6581 0.9038
0.6043 0.0962 0.3419
0.6581 0.5424 0.3957
0.9038 0.3957 0.5424
```

Properties
uncorrected energy = -2.696 eV per atom
SG = Fddd, No. 70

(5)
Crystalline Y2MnCu at its relaxed geometry, computed with PBE-GGA.

```
Y2MnCu
1.0
-1.7156 2.3839 5.3624
1.7156 -2.3839 5.3624
1.7156 2.3839 -5.3624
Y Mn Cu
2 1 1
direct
0.0000 0.0000 0.0000
0.7153 0.2153 0.5000
0.4311 0.4311 0.0000
0.2579 0.7579 0.5000
```

Properties
ΔH_f (0 K) = 47 meV/atom
SG = Imm2, No. 44

(6)
Crystalline Er4Zr at its relaxed geometry, computed with PBE-GGA.

```
Er4Zr
1.0
-2.1492 2.1492 8.2762
2.1492 -2.1492 8.2762
2.1492 2.1492 -8.2762
Er Zr
4 1
direct
0.0904 0.0904 0.0000
0.2500 0.7500 0.5000
0.7500 0.2500 0.5000
0.9096 0.9096 0.0000
0.5000 0.5000 0.0000
```

Properties
ΔH_f (0 K) = 516 meV/atom
E above lowest polymorph = 0.000 eV/atom
SG = I4/mmm, No. 139

(7)
Crystalline SiGe3Ru at its relaxed geometry, computed with PBE-GGA.

```
SiGe3Ru
1.0
4.6634 0.0000 0.0000
0.0000 4.6634 0.0000
0.0000 0.0000 4.6634
Si Ge Ru
1 3 1
direct
0.0000 0.0000 0.0000
0.0000 0.0000 0.5000
0.0000 0.5000 0.0000
0.5000 0.0000 0.0000
0.5000 0.5000 0.5000
```

Properties
E above lowest polymorph = 0.588 eV/atom
SG = Pm-3m, No. 221
E_form (uncorrected) = 1.15 eV/atom

(8)
Crystalline Sr2ErAl3Au12 at its relaxed geometry, computed with PBE-GGA.

```
Sr2ErAl3Au12
1.0
4.5643 2.6352 6.1037
-4.5643 2.6352 6.1037
0.0000 -5.2704 6.1037
Sr Er Al Au
2 1 3 12
direct
0.1008 0.1008 0.1008
0.8992 0.8992 0.8992
0.5000 0.5000 0.5000
0.0000 0.5000 0.5000
0.5000 0.0000 0.5000
0.5000 0.5000 0.0000
0.1191 0.6453 0.6453
0.2039 0.2039 0.6633
0.2039 0.6633 0.2039
0.3367 0.7961 0.7961
0.3547 0.3547 0.8809
0.3547 0.8809 0.3547
0.6453 0.1191 0.6453
0.6453 0.6453 0.1191
0.6633 0.2039 0.2039
0.7961 0.3367 0.7961
0.7961 0.7961 0.3367
0.8809 0.3547 0.3547
```

Properties
ΔH_f (0 K) = -270 meV/atom
SG = R-3m, No. 166